The following is a DFT calculation (PBE) of an optimized crystal structure of Nb2InC.

Values from the calculation:
polymorph energy (0 for the lowest one)	267	kJ/mol of formula units
energy of formation	6.1	kcal/mol of atoms
space group	I-42d (122)

a b c (Å): 5.620 5.620 5.620
angles (deg): 107.41 107.41 113.67
Atoms (fractional coordinates):
1 Nb 0.037 0.125 0.412
2 Nb 0.375 0.963 0.088
3 Nb 0.713 0.625 0.588
4 Nb 0.875 0.287 0.912
5 In 0.250 0.750 0.500
6 In 0.500 0.500 0.000
7 C 0.000 0.000 0.000
8 C 0.750 0.250 0.500

***

The following is a DFT calculation (PBE) of an optimized crystal structure of Nb8InC2.

Values from the calculation:
energy of formation	3.0	kcal/mol of atoms
space group	Immm (71)

a b c (Å): 7.880 7.880 7.880
angles (deg): 144.94 139.43 54.68
Atoms (fractional coordinates):
1 Nb 0.115 0.115 0.000
2 Nb 0.158 0.401 0.757
3 Nb 0.274 0.774 0.500
4 Nb 0.356 0.599 0.757
5 Nb 0.644 0.401 0.243
6 Nb 0.726 0.226 0.500
7 Nb 0.842 0.599 0.243
8 Nb 0.885 0.885 0.000
9 In 0.500 0.000 0.500
10 C 0.268 0.268 0.000
11 C 0.732 0.732 0.000

***

The following is a DFT calculation (PBE) of an optimized crystal structure of Nb4InC.

Values from the calculation:
energy of formation	1.1	kcal/mol of atoms
space group	C2/c (15)

a b c (Å): 7.157 7.157 5.346
angles (deg): 102.62 102.62 119.17
Atoms (fractional coordinates):
1 Nb 0.091 0.663 0.878
2 Nb 0.125 0.250 0.679
3 Nb 0.250 0.125 0.179
4 Nb 0.337 0.909 0.622
5 Nb 0.663 0.091 0.378
6 Nb 0.750 0.875 0.821
7 Nb 0.875 0.750 0.321
8 Nb 0.909 0.337 0.122
9 In 0.404 0.596 0.250
10 In 0.596 0.404 0.750
11 C 0.063 0.937 0.750
12 C 0.937 0.063 0.250

***

The following is a DFT calculation (PBE) of an optimized crystal structure of NbIn3C.

Values from the calculation:
polymorph energy (0 for the lowest one)	0	kJ/mol of formula units
energy of formation	27.2	kcal/mol of atoms
space group	Pm-3m (221)

a b c (Å): 4.668 4.668 4.668
angles (deg): 90.00 90.00 90.00
Atoms (fractional coordinates):
1 Nb 0.000 0.000 0.000
2 In 0.000 0.500 0.500
3 In 0.500 0.000 0.500
4 In 0.500 0.500 0.000
5 C 0.500 0.500 0.500

***

The following is a DFT calculation (PBE) of an optimized crystal structure of Nb2In2C.

Values from the calculation:
polymorph energy (0 for the lowest one)	122	kJ/mol of formula units
energy of formation	32.9	kcal/mol of atoms
space group	I4/mmm (139)

a b c (Å): 8.153 8.153 8.153
angles (deg): 154.15 154.15 36.88
Atoms (fractional coordinates):
1 Nb 0.250 0.750 0.500
2 Nb 0.750 0.250 0.500
3 In 0.089 0.089 0.000
4 In 0.911 0.911 0.000
5 C 0.500 0.500 0.000

***

The following is a DFT calculation (PBE) of an optimized crystal structure of NbInOs2C.

Values from the calculation:
energy of formation	14.6	kcal/mol of atoms
space group	P4/mmm (123)

a b c (Å): 4.038 4.038 4.723
angles (deg): 90.00 90.00 90.00
Atoms (fractional coordinates):
1 Nb 0.000 0.000 0.000
2 In 0.500 0.500 0.000
3 Os 0.000 0.500 0.500
4 Os 0.500 0.000 0.500
5 C 0.500 0.500 0.500

***

The following is a DFT calculation (PBE) of an optimized crystal structure of ScNb2InC.

Values from the calculation:
energy of formation	-7.5	kcal/mol of atoms
space group	P4/mmm (123)

a b c (Å): 4.349 4.349 4.562
angles (deg): 90.00 90.00 90.00
Atoms (fractional coordinates):
1 Sc 0.000 0.000 0.000
2 Nb 0.000 0.500 0.500
3 Nb 0.500 0.000 0.500
4 In 0.500 0.500 0.000
5 C 0.000 0.000 0.500

***

The following is a DFT calculation (PBE) of an optimized crystal structure of NbInTc2C.

Values from the calculation:
energy of formation	39.4	kcal/mol of atoms
space group	P4/mmm (123)

a b c (Å): 4.876 4.876 4.067
angles (deg): 90.00 90.00 90.00
Atoms (fractional coordinates):
1 Nb 0.000 0.000 0.000
2 In 0.500 0.500 0.500
3 Tc 0.000 0.500 0.000
4 Tc 0.500 0.000 0.000
5 C 0.000 0.000 0.500

***

D(E_F) (states/eV per atom)
0.678, 0.520, 0.628, 0.832, 1.066, 1.352, 0.637, 1.208
Uncorrected energy (eV for the cell shown)
-62.091, -100.308, -103.931, -21.617, -27.710, -41.315, -40.051, -34.227
Total magnetization (μB per formula unit)
0.0, 0.0, 0.0, 2.1, 0.6, 0.0, 0.0, 0.0